! PBE LaIn2Ni2Ge, relaxed; values from VASP
! SG   No. 123
! Fermi-level density of states   0.68 states/eV per atom
! DFT total energy   -4.766 eV/atom
! Energy relative to the elements   -0.335 eV/atom
&SYSTEM
  ibrav = 0, nat = 6, ntyp = 4
/
ATOMIC_SPECIES
La 138.91 La.upf
In 114.82 In.upf
Ni 58.69 Ni.upf
Ge 72.64 Ge.upf
ATOMIC_POSITIONS crystal
La 0.000 0.000 0.000
In 0.500 0.500 0.243
In 0.500 0.500 0.757
Ni 0.000 0.500 0.500
Ni 0.500 0.000 0.500
Ge 0.000 0.000 0.500
CELL_PARAMETERS angstrom
4.528 0.000 0.000
0.000 4.528 0.000
0.000 0.000 6.042